The following is a DFT calculation (PBE-GGA) of crystalline Sr3BiPb at its relaxed geometry.

Properties
VASP energy = -3.218 eV per atom
energy above the lowest structure with this stoichiometry = 0 meV per atom
total magnetization = 0.00 μB per formula unit
formation energy = -3.5 eV per formula unit

CIF file:
```
data_Sr3BiPb
_space_group_name_H-M_alt 'P 1 21/c 1'
_space_group_IT_number 14
_cell_length_a 10.132
_cell_length_b 8.799
_cell_length_c 9.389
_cell_angle_alpha 90.00
_cell_angle_beta 105.10
_cell_angle_gamma 90.00
loop_
_space_group_symop_operation_xyz
'x,y,z'
'-x,-y,-z'
'-x,y+1/2,-z+1/2'
'x,-y+1/2,z+1/2'
loop_
_atom_site_label
_atom_site_fract_x
_atom_site_fract_y
_atom_site_fract_z
Sr1 0.060 0.002 0.207
Sr2 0.290 0.633 0.084
Sr3 0.360 0.202 0.950
Bi1 0.407 0.546 0.758
Pb1 0.073 0.166 0.545
```


The following is a DFT calculation (PBE-GGA) of crystalline V2ZnB at its relaxed geometry.

Properties
VASP energy = -6.279 eV per atom
energy above the lowest structure with this stoichiometry = 75 meV per atom
total magnetization = 0.00 μB per formula unit
formation energy = 1.1 eV per formula unit

CIF file:
```
data_V2ZnB
_space_group_name_H-M_alt 'I -4 2 d'
_space_group_IT_number 122
_space_group_name_Hall 'I -4 2bw'
_cell_length_a 6.321
_cell_length_b 6.321
_cell_length_c 4.892
_cell_angle_alpha 90.00
_cell_angle_beta 90.00
_cell_angle_gamma 90.00
loop_
_atom_site_label
_atom_site_fract_x
_atom_site_fract_y
_atom_site_fract_z
V1 0.210 0.250 0.125
Zn1 0.000 0.000 0.500
B1 0.000 0.000 0.000
```


The following is a DFT calculation (PBE-GGA) of crystalline ZrCoSi at its relaxed geometry.

Properties
VASP energy = -7.511 eV per atom
total magnetization = 0.64 μB per formula unit
ΔE_f (raw) = -0.485 eV per atom

CIF file:
```
data_ZrCoSi
_space_group_name_H-M_alt 'I 4 m m'
_space_group_IT_number 107
_space_group_name_Hall 'I 4 -2'
_cell_length_a 2.946
_cell_length_b 2.946
_cell_length_c 10.150
_cell_angle_alpha 90.00
_cell_angle_beta 90.00
_cell_angle_gamma 90.00
loop_
_atom_site_label
_atom_site_fract_x
_atom_site_fract_y
_atom_site_fract_z
Zr1 0.000 0.000 0.000
Co1 0.000 0.000 0.694
Si1 0.000 0.000 0.302
```


The following is a DFT calculation (PBE-GGA) of crystalline AlInF3 at its relaxed geometry.

Properties
VASP energy = -4.508 eV per atom
energy above the lowest structure with this stoichiometry = 0 meV per atom
total magnetization = 0.00 μB per formula unit
ΔE_f (raw) = -2.089 eV per atom

CIF file:
```
data_AlInF3
_space_group_name_H-M_alt 'P m -3 m'
_space_group_IT_number 221
_space_group_name_Hall '-P 4 2 3'
_cell_length_a 4.205
_cell_length_b 4.205
_cell_length_c 4.205
_cell_angle_alpha 90.00
_cell_angle_beta 90.00
_cell_angle_gamma 90.00
loop_
_atom_site_label
_atom_site_fract_x
_atom_site_fract_y
_atom_site_fract_z
Al1 0.000 0.000 0.000
In1 0.500 0.500 0.500
F1 0.000 0.000 0.500
```


The following is a DFT calculation (PBE-GGA) of crystalline Pr2As4IrPt3 at its relaxed geometry.

Properties
VASP energy = -6.336 eV per atom
total magnetization = 0.00 μB per formula unit
formation energy = -8.2 eV per formula unit

CIF file:
```
data_Pr2As4IrPt3
_space_group_name_H-M_alt 'P -4 m 2'
_space_group_IT_number 115
_cell_length_a 4.432
_cell_length_b 4.432
_cell_length_c 10.034
_cell_angle_alpha 90.00
_cell_angle_beta 90.00
_cell_angle_gamma 90.00
loop_
_space_group_symop_operation_xyz
'x,y,z'
'y,-x,-z'
'-x,-y,z'
'-y,x,-z'
'-x,y,z'
'-y,-x,-z'
'x,-y,z'
'y,x,-z'
loop_
_atom_site_label
_atom_site_fract_x
_atom_site_fract_y
_atom_site_fract_z
Pr1 0.000 0.500 0.248
As1 0.000 0.000 0.500
As2 0.000 0.500 0.870
As3 0.500 0.500 0.500
Ir1 0.500 0.500 0.000
Pt1 0.000 0.000 0.000
Pt2 0.000 0.500 0.623
```


The following is a DFT calculation (PBE-GGA) of crystalline CdHg5H2 at its relaxed geometry.

Properties
VASP energy = -0.973 eV per atom
total magnetization = 0.00 μB per formula unit

CIF file:
```
data_CdHg5H2
_space_group_name_H-M_alt 'P -1'
_space_group_IT_number 2
_cell_length_a 5.899
_cell_length_b 6.122
_cell_length_c 6.129
_cell_angle_alpha 98.27
_cell_angle_beta 100.28
_cell_angle_gamma 100.39
loop_
_space_group_symop_operation_xyz
'x,y,z'
'-x,-y,-z'
loop_
_atom_site_label
_atom_site_fract_x
_atom_site_fract_y
_atom_site_fract_z
Cd1 0.000 0.000 0.000
Hg1 0.000 0.500 0.500
Hg2 0.288 0.032 0.611
Hg3 0.288 0.611 0.031
H1 0.232 0.186 0.186
```


The following is a DFT calculation (PBE-GGA) of crystalline Sr2LiHg6 at its relaxed geometry.

Properties
VASP energy = -1.188 eV per atom
energy above the lowest structure with this stoichiometry = 2 meV per atom
total magnetization = 0.00 μB per formula unit
formation energy = -3.6 eV per formula unit

CIF file:
```
data_Sr2LiHg6
_space_group_name_H-M_alt 'C 1 2/m 1'
_space_group_IT_number 12
_cell_length_a 12.039
_cell_length_b 7.023
_cell_length_c 7.149
_cell_angle_alpha 90.00
_cell_angle_beta 126.24
_cell_angle_gamma 90.00
loop_
_space_group_symop_operation_xyz
'x,y,z'
'-x,-y,-z'
'-x,y,-z'
'x,-y,z'
'x+1/2,y+1/2,z'
'-x+1/2,-y+1/2,-z'
'-x+1/2,y+1/2,-z'
'x+1/2,-y+1/2,z'
loop_
_atom_site_label
_atom_site_fract_x
_atom_site_fract_y
_atom_site_fract_z
Sr1 0.243 0.000 0.241
Li1 0.000 0.500 0.000
Hg1 0.001 0.238 0.275
Hg2 0.223 0.000 0.722
```


The following is a DFT calculation (PBE-GGA) of crystalline LiThIrO6 at its relaxed geometry.

Properties
VASP energy = -7.078 eV per atom
total magnetization = 2.02 μB per formula unit
ΔE_f (raw) = -1.751 eV per atom

CIF file:
```
data_LiThIrO6
_space_group_name_H-M_alt 'P 42 n m'
_space_group_IT_number 102
_cell_length_a 4.988
_cell_length_b 4.988
_cell_length_c 9.847
_cell_angle_alpha 90.00
_cell_angle_beta 90.00
_cell_angle_gamma 90.00
loop_
_space_group_symop_operation_xyz
'x,y,z'
'-y+1/2,x+1/2,z+1/2'
'-x,-y,z'
'y+1/2,-x+1/2,z+1/2'
'-x+1/2,y+1/2,z+1/2'
'y,x,z'
'x+1/2,-y+1/2,z+1/2'
'-y,-x,z'
loop_
_atom_site_label
_atom_site_fract_x
_atom_site_fract_y
_atom_site_fract_z
Li1 0.000 0.000 0.000
Th1 0.000 0.000 0.343
Ir1 0.000 0.000 0.677
O1 0.182 0.182 0.824
O2 0.190 0.190 0.537
O3 0.230 0.230 0.176
```